[1]
The following is a GGA-PBE calculation of a geometry-optimized Pr2ZnOs structure, from Alexandria.

Values from the calculation:
Its mass density is 9.41 g/cm³. The offset from the most stable computed form is 95 meV per atom. The total magnetic moment comes out at 0.00 μB per formula unit. For the final energy, the calculation gives -5.5816 eV/atom. For the volume, the calculation gives 23.699 Å³ per atom. The energy relative to the elements comes out at -0.07 eV/atom.

a = 5.118 Å, b = 5.118 Å, c = 5.118 Å
α = 60.00°, β = 60.00°, γ = 60.00°
Fractional positions:
Pr (0.250, 0.250, 0.250)
Pr (0.750, 0.750, 0.750)
Os (0.000, 0.000, 0.000)
Zn (0.500, 0.500, 0.500)

[2]
The following is a GGA-PBE calculation of a geometry-optimized Pr4ZnOs structure, from Alexandria.

Values from the calculation:
Its mass density is 7.74 g/cm³. The offset from the most stable computed form is 16 meV per atom. The total magnetic moment comes out at 0.00 μB per formula unit. For the final energy, the calculation gives -5.3885 eV/atom. For the volume, the calculation gives 29.312 Å³ per atom. The energy relative to the elements comes out at -0.12 eV/atom.

a = 6.299 Å, b = 8.443 Å, c = 8.232 Å
α = 113.93°, β = 103.82°, γ = 106.27°
Fractional positions:
Pr (0.636, 0.062, 0.355)
Pr (0.781, 0.706, 0.645)
Pr (0.683, 0.355, 0.141)
Pr (0.219, 0.294, 0.355)
Pr (0.364, 0.938, 0.645)
Pr (0.042, 0.215, 0.859)
Pr (0.317, 0.645, 0.859)
Pr (0.958, 0.785, 0.141)
Zn (0.626, 0.376, 0.752)
Zn (0.374, 0.624, 0.248)
Os (0.250, 0.000, 0.000)
Os (0.750, 0.000, 0.000)

[3]
The following is a GGA-PBE calculation of a geometry-optimized Pr8Zn2Os structure, from Alexandria.

Values from the calculation:
Its mass density is 7.32 g/cm³. The offset from the most stable computed form is 0 meV per atom. The total magnetic moment comes out at 0.00 μB per formula unit. For the final energy, the calculation gives -4.8183 eV/atom. For the volume, the calculation gives 29.888 Å³ per atom. The energy relative to the elements comes out at -0.09 eV/atom.

a = 5.252 Å, b = 7.004 Å, c = 9.510 Å
α = 101.58°, β = 106.03°, γ = 90.00°
Fractional positions:
Pr (0.799, 0.686, 0.598)
Pr (0.028, 0.787, 0.055)
Pr (0.201, 0.314, 0.402)
Pr (0.657, 0.958, 0.314)
Pr (0.343, 0.042, 0.686)
Pr (0.972, 0.213, 0.945)
Pr (0.589, 0.432, 0.178)
Pr (0.411, 0.568, 0.822)
Zn (0.808, 0.265, 0.616)
Zn (0.192, 0.735, 0.384)
Os (0.500, 0.000, 0.000)

[4]
The following is a GGA-PBE calculation of a geometry-optimized PrZnOs structure, from Alexandria.

Values from the calculation:
Its mass density is 9.71 g/cm³. The total magnetic moment comes out at 0.00 μB per formula unit. For the final energy, the calculation gives -5.8694 eV/atom. For the volume, the calculation gives 22.616 Å³ per atom. The energy relative to the elements comes out at -0.11 eV/atom.

a = 4.402 Å, b = 5.696 Å, c = 6.065 Å
α = 74.43°, β = 68.69°, γ = 89.91°
Fractional positions:
Zn (0.095, 0.704, 0.311)
Zn (0.905, 0.296, 0.689)
Pr (0.611, 0.312, 0.280)
Pr (0.389, 0.688, 0.720)
Os (0.719, 0.902, 0.063)
Os (0.281, 0.098, 0.937)

[5]
The following is a GGA-PBE calculation of a geometry-optimized Pr6ZnOs2 structure, from Alexandria.

Values from the calculation:
Its mass density is 8.29 g/cm³. The total magnetic moment comes out at 0.00 μB per formula unit. For the final energy, the calculation gives -5.9268 eV/atom. For the volume, the calculation gives 28.751 Å³ per atom. The energy relative to the elements comes out at -0.10 eV/atom.

a = 8.771 Å, b = 8.771 Å, c = 8.771 Å
α = 105.40°, β = 111.29°, γ = 111.80°
Fractional positions:
Pr (0.686, 0.358, 0.672)
Pr (0.314, 0.642, 0.328)
Pr (0.092, 0.273, 0.819)
Pr (0.686, 0.013, 0.328)
Pr (0.314, 0.987, 0.672)
Pr (0.546, 0.727, 0.819)
Pr (0.454, 0.273, 0.181)
Pr (0.908, 0.727, 0.181)
Pr (0.198, 0.757, 0.955)
Pr (0.802, 0.757, 0.560)
Pr (0.198, 0.243, 0.440)
Pr (0.802, 0.243, 0.045)
Os (0.500, 0.616, 0.116)
Os (0.500, 0.384, 0.884)
Os (0.324, 0.000, 0.324)
Os (0.676, 0.000, 0.676)
Zn (0.000, 0.000, 0.000)
Zn (0.000, 0.500, 0.500)

[6]
The following is a GGA-PBE calculation of a geometry-optimized PrZrOs4 structure, from Alexandria.

Values from the calculation:
Its mass density is 15.16 g/cm³. The total magnetic moment comes out at 0.00 μB per formula unit. For the final energy, the calculation gives -9.8229 eV/atom. For the volume, the calculation gives 18.131 Å³ per atom. The energy relative to the elements comes out at -0.12 eV/atom.

a = 5.358 Å, b = 5.358 Å, c = 5.358 Å
α = 60.00°, β = 60.00°, γ = 60.00°
Fractional positions:
Os (0.625, 0.124, 0.625)
Os (0.625, 0.625, 0.124)
Os (0.625, 0.625, 0.625)
Os (0.124, 0.625, 0.625)
Pr (0.250, 0.250, 0.250)
Zr (0.000, 0.000, 0.000)